First-principles (GGA-PBE) data for a geometry-optimized CeNd2Hg structure, as listed in Alexandria via LeMat-Bulk.

a b c (Å): 3.450 3.450 12.086
angles (deg): 81.79 81.79 60.00
Site moments in Bohr magnetons follow the coordinates.
Fractional coordinates of all 4 atoms:
Nd 0.093 0.093 0.720  -0.03
Nd 0.907 0.907 0.280  -0.03
Hg 0.500 0.500 0.500  0.01
Ce 0.000 0.000 0.000  0.66

Computed properties:
**ρ**: 8.50 g/cm³
**Symmetry**: R-3m (166)
**E above lowest polymorph**: 277 meV/atom

First-principles (GGA-PBE) data for a geometry-optimized DyHo7Er4 structure, as listed in Alexandria via LeMat-Bulk.

a b c (Å): 5.799 11.431 6.626
angles (deg): 83.54 64.05 75.31
Fractional coordinates of all 12 atoms:
Dy 0.000 0.000 0.000
Ho 0.788 0.924 0.500
Ho 0.212 0.076 0.500
Ho 0.061 0.678 0.200
Ho 0.939 0.322 0.800
Ho 0.366 0.501 0.767
Ho 0.500 0.000 0.000
Ho 0.634 0.499 0.233
Er 0.636 0.225 0.502
Er 0.364 0.775 0.498
Er 0.754 0.682 0.810
Er 0.246 0.318 0.190

Computed properties:
**ρ**: 8.63 g/cm³
**Symmetry**: C2/m (12)
**E above lowest polymorph**: 206 meV/atom

First-principles (GGA-PBE) data for a geometry-optimized ScCuP2 structure, as listed in Alexandria via LeMat-Bulk.

a b c (Å): 5.264 5.264 5.264
angles (deg): 140.55 138.51 58.58
Fractional coordinates of all 4 atoms:
Cu 0.231 0.731 0.500
P 0.017 0.017 0.000
P 0.760 0.260 0.500
Sc 0.493 0.493 0.000

Computed properties:
**ρ**: 4.65 g/cm³
**Symmetry**: Imm2 (44)
**Total DFT energy (no corrections)**: -5.755 eV/atom

First-principles (GGA-PBE) data for a geometry-optimized AlRu2Rh structure, as listed in Alexandria via LeMat-Bulk.

a b c (Å): 5.191 5.191 5.191
angles (deg): 147.77 130.77 60.07
Fractional coordinates of all 4 atoms:
Ru 0.976 0.976 0.000
Ru 0.524 0.524 0.000
Rh 0.250 0.750 0.500
Al 0.750 0.250 0.500

Computed properties:
**ρ**: 9.84 g/cm³
**Symmetry**: Immm (71)
**Total DFT energy (no corrections)**: -7.618 eV/atom